# K2LiHg, optimized geometry, DFT PBE
# * electronic total energy: -1.188 eV/atom
# * M_tot: 0.0 μB per formula unit
# * Fermi-level density of states: 1.96 states/eV per cell
data_K2LiHg
_chemical_formula_sum 'K2 Li1 Hg1'
_cell_length_a 7.277
_cell_length_b 7.277
_cell_length_c 6.148
_cell_angle_alpha 64.72
_cell_angle_beta 64.72
_cell_angle_gamma 32.82
_symmetry_space_group_name_H-M 'P 1'
_symmetry_Int_Tables_number 1
loop_
_symmetry_equiv_pos_as_xyz
'x,y,z'
loop_
_atom_site_label
_atom_site_type_symbol
_atom_site_fract_x
_atom_site_fract_y
_atom_site_fract_z
Hg1 Hg 0.212 0.212 0.289
K1 K 0.763 0.763 0.737
K2 K 0.963 0.963 0.036
Li1 Li 0.562 0.562 0.437